No. 1
The following is a DFT calculation (PBE) of crystalline Li9Cd13 at its relaxed geometry.

Cell lengths 9.1522, 9.1522, 5.7179 Å; angles 90.00, 90.00, 120.00 degrees
Space group P-3m1 (No. 164)
Symmetry-distinct sites (fractional):
Li (0.0000, 0.0000, 0.0000)
Li (0.1952, 0.3903, 0.7380)
Li (0.3333, 0.6667, 0.2592)
Cd (0.0000, 0.0000, 0.5000)
Cd (0.0000, 0.5000, 0.0000)
Cd (0.0000, 0.5000, 0.5000)
Cd (0.1565, 0.3130, 0.2308)

No. 2
The following is a DFT calculation (PBE) of crystalline Li3Cd at its relaxed geometry.

Cell lengths 2.986, 9.450, 4.965 Å; angles 90.00, 90.00, 90.00 degrees
Space group Imm2 (No. 44)
Symmetry-distinct sites (fractional):
Li (0.000, 0.000, 0.000)
Li (0.000, 0.247, 0.347)
Cd (0.000, 0.500, 0.000)

No. 3
The following is a DFT calculation (PBE) of crystalline Li3Cd at its relaxed geometry.

Cell lengths 4.631, 4.631, 6.137 Å; angles 90.00, 90.00, 90.00 degrees
Space group I4/mmm (No. 139)
Symmetry-distinct sites (fractional):
Li (0.000, 0.000, 0.000)
Li (0.000, 0.500, 0.250)
Cd (0.000, 0.000, 0.500)

No. 4
The following is a DFT calculation (PBE) of crystalline LiLuCd2 at its relaxed geometry.

Cell lengths 6.865, 6.865, 6.865 Å; angles 90.00, 90.00, 90.00 degrees
Space group F-43m (No. 216)
Symmetry-distinct sites (fractional):
Li (0.000, 0.000, 0.000)
Lu (0.250, 0.250, 0.250)
Cd (0.000, 0.000, 0.500)
Cd (0.250, 0.250, 0.750)

No. 5
The following is a DFT calculation (PBE) of crystalline LiLuCdS3 at its relaxed geometry.

## Properties
- Distance to the lowest polymorph of the same formula: 169 meV/atom

Cell lengths 3.863, 12.802, 10.510 Å; angles 90.00, 90.00, 90.00 degrees
Space group Cmcm (No. 63)
Symmetry-distinct sites (fractional):
Li (0.000, 0.229, 0.250)
Lu (0.000, 0.500, 0.000)
Cd (0.000, 0.042, 0.750)
S (0.000, 0.140, 0.551)
S (0.000, 0.408, 0.750)

No. 6
The following is a DFT calculation (PBE) of crystalline LiLuCdS3 at its relaxed geometry.

## Properties
- Distance to the lowest polymorph of the same formula: 0 meV/atom

Cell lengths 10.727, 3.855, 11.467 Å; angles 90.00, 90.00, 90.00 degrees
Space group Pnma (No. 62)
Symmetry-distinct sites (fractional):
Li (0.127, 0.250, 0.076)
Lu (0.123, 0.250, 0.755)
Cd (0.129, 0.250, 0.406)
S (0.121, 0.750, 0.588)
S (0.124, 0.750, 0.914)
S (0.127, 0.750, 0.239)

No. 7
The following is a DFT calculation (PBE) of crystalline LiLuCdTe3 at its relaxed geometry.

## Properties
- Distance to the lowest polymorph of the same formula: 14 meV/atom

Cell lengths 4.272, 14.342, 11.530 Å; angles 90.00, 90.00, 90.00 degrees
Space group Cmcm (No. 63)
Symmetry-distinct sites (fractional):
Li (0.000, 0.214, 0.250)
Lu (0.000, 0.000, 0.000)
Cd (0.000, 0.478, 0.750)
Te (0.000, 0.105, 0.750)
Te (0.000, 0.357, 0.560)

No. 8
The following is a DFT calculation (PBE) of crystalline LiLuCdTe3 at its relaxed geometry.

## Properties
- Distance to the lowest polymorph of the same formula: 0 meV/atom

Cell lengths 11.861, 4.308, 14.099 Å; angles 90.00, 90.00, 90.00 degrees
Space group Pnma (No. 62)
Symmetry-distinct sites (fractional):
Li (0.152, 0.250, 0.014)
Lu (0.007, 0.250, 0.740)
Cd (0.237, 0.250, 0.277)
Te (0.053, 0.250, 0.396)
Te (0.064, 0.750, 0.889)
Te (0.248, 0.250, 0.646)

Raw total energy, respectively: -1.49, -1.81, -1.82, -2.27, -4.50, -4.67, -3.66, -3.67 eV per atom.